(1)
YNiCl: optimized geometry, PBE.

Unit cell a=3.7236 b=3.7236 c=6.1130 alpha=90.00 beta=90.00 gamma=120.00
Closest atoms and distances in Å follow each position.
Atoms (fractional coordinates):
Cl1 0.0000 0.0000 0.9531  3 Y 2.82
Y1 0.6667 0.3333 0.6551  3 Ni 2.69, 3 Cl 2.82
Ni1 0.3333 0.6667 0.3918  3 Y 2.69

## Properties
Uncorrected energy = -16.14 eV for the cell shown


(2)
Y4NiCl: optimized geometry, PBE.

Unit cell a=6.3148 b=6.3148 c=6.3148 alpha=60.00 beta=60.00 gamma=60.00
Closest atoms and distances in Å follow each position.
Atoms (fractional coordinates):
Y1 0.3736 0.3736 0.3736  6 Y 3.12-3.19
Y2 0.3736 0.8791 0.3736  6 Y 3.12-3.19
Y3 0.3736 0.3736 0.8791  6 Y 3.12-3.19
Cl1 0.7500 0.7500 0.7500  12 Y 3.71, 4 Ni 3.87
Ni1 0.0000 0.0000 0.0000  12 Y 3.70, 4 Cl 3.87
Y4 0.8791 0.3736 0.3736  6 Y 3.12-3.19

## Properties
Uncorrected energy = -29.67 eV for the cell shown


(3)
YNi2Cl: optimized geometry, PBE.

Unit cell a=4.6053 b=4.6053 c=4.6053 alpha=60.00 beta=60.00 gamma=60.00
Closest atoms and distances in Å follow each position.
Atoms (fractional coordinates):
Ni1 0.2500 0.2500 0.2500  4 Cl 2.82, 4 Y 2.82
Y1 0.5000 0.5000 0.5000  8 Ni 2.82
Cl1 0.0000 0.0000 0.0000  8 Ni 2.82
Ni2 0.7500 0.7500 0.7500  4 Cl 2.82, 4 Y 2.82

## Properties
Excess energy over the best structure of this formula in the dataset = 0.751 eV per atom


(4)
YNiCl2: optimized geometry, PBE.

Unit cell a=3.4463 b=3.4476 c=6.2885 alpha=90.00 beta=90.00 gamma=90.00
Closest atoms and distances in Å follow each position.
Atoms (fractional coordinates):
Y1 0.5000 0.5000 0.7500  8 Cl 2.86, 2 Ni 3.14
Ni1 0.5000 0.5000 0.2500  8 Cl 2.94, 2 Y 3.14
Cl1 0.0000 0.0000 0.5107  4 Y 2.86, 4 Ni 2.94, 1 Cl 3.01
Cl2 0.0000 0.0000 0.9893  4 Y 2.86, 4 Ni 2.94, 1 Cl 3.01

## Properties
Excess energy over the best structure of this formula in the dataset = 0.463 eV per atom


(5)
YNiCl2: optimized geometry, PBE.

Unit cell a=4.7051 b=4.7051 c=4.7051 alpha=60.00 beta=60.00 gamma=60.00
Closest atoms and distances in Å follow each position.
Atoms (fractional coordinates):
Ni1 0.0000 0.0000 0.0000  8 Cl 2.88
Cl1 0.2500 0.2500 0.2500  4 Ni 2.88, 4 Y 2.88
Cl2 0.7500 0.7500 0.7500  4 Ni 2.88, 4 Y 2.88
Y1 0.5000 0.5000 0.5000  8 Cl 2.88

## Properties
Excess energy over the best structure of this formula in the dataset = 0.378 eV per atom


(6)
YNiCl: optimized geometry, PBE.

Unit cell a=6.5605 b=6.5599 c=3.3323 alpha=75.30 beta=75.28 gamma=29.43
Closest atoms and distances in Å follow each position.
Atoms (fractional coordinates):
Y1 0.6739 0.6739 0.3261  4 Ni 2.80, 4 Cl 2.95
Cl1 0.0284 0.0284 0.9716  4 Y 2.95, 1 Ni 3.30
Ni1 0.2977 0.2977 0.7023  4 Y 2.80

## Properties
Uncorrected energy = -16.05 eV for the cell shown


(7)
YNiCl2: optimized geometry, PBE.

Unit cell a=7.6726 b=7.6726 c=7.6726 alpha=29.46 beta=29.46 gamma=29.46
Closest atoms and distances in Å follow each position.
Atoms (fractional coordinates):
Cl1 0.0261 0.0261 0.0261  3 Y 2.81
Y1 0.7688 0.7688 0.7688  3 Ni 2.74, 3 Cl 2.81
Cl2 0.1988 0.1988 0.1988  3 Ni 2.32
Ni1 0.5064 0.5064 0.5064  3 Cl 2.32

## Properties
Excess energy over the best structure of this formula in the dataset = 0.000 eV per atom


(8)
YNi4Cl: optimized geometry, PBE.

Unit cell a=4.9912 b=4.9912 c=4.9912 alpha=60.00 beta=60.00 gamma=60.00
Closest atoms and distances in Å follow each position.
Atoms (fractional coordinates):
Ni1 0.3752 0.3752 0.8743  6 Ni 2.49-2.50
Ni2 0.8743 0.3752 0.3752  6 Ni 2.49-2.50
Y1 0.7500 0.7500 0.7500  12 Ni 2.93, 4 Cl 3.06
Ni3 0.3752 0.3752 0.3752  6 Ni 2.49-2.50
Cl1 0.0000 0.0000 0.0000  12 Ni 2.93, 4 Y 3.06
Ni4 0.3752 0.8743 0.3752  6 Ni 2.49-2.50

## Properties
Uncorrected energy = -32.17 eV for the cell shown


(9)
YNi3Cl: optimized geometry, PBE.

Unit cell a=4.8580 b=4.8580 c=4.8580 alpha=90.00 beta=90.00 gamma=90.00
Closest atoms and distances in Å follow each position.
Atoms (fractional coordinates):
Y1 0.0000 0.0000 0.0000  6 Ni 2.43
Cl1 0.5000 0.5000 0.5000  12 Ni 3.44
Ni1 0.5000 0.0000 0.0000  2 Y 2.43
Ni2 0.0000 0.5000 0.0000  2 Y 2.43
Ni3 0.0000 0.0000 0.5000  2 Y 2.43

## Properties
Excess energy over the best structure of this formula in the dataset = 1.103 eV per atom


(10)
YNiCl2: optimized geometry, PBE.

Unit cell a=7.0008 b=7.0008 c=7.0008 alpha=150.55 beta=147.30 gamma=44.57
Closest atoms and distances in Å follow each position.
Atoms (fractional coordinates):
Cl1 0.7281 0.2281 0.5000  4 Y 2.94
Cl2 0.9748 0.9748 0.0000  4 Ni 2.66, 2 Y 2.76
Y1 0.3260 0.8260 0.5000  2 Ni 2.59, 2 Cl 2.76
Ni1 0.4711 0.4711 0.0000  2 Y 2.59, 4 Cl 2.66

## Properties
Excess energy over the best structure of this formula in the dataset = 0.144 eV per atom


(11)
YNi2Cl: optimized geometry, PBE.

Unit cell a=4.0230 b=3.4523 c=4.9520 alpha=89.49 beta=90.00 gamma=90.00
Closest atoms and distances in Å follow each position.
Atoms (fractional coordinates):
Ni1 0.0000 0.7469 0.4904  2 Ni 2.38-2.57, 2 Cl 2.39
Ni2 0.0000 0.7531 0.0096  2 Ni 2.38-2.57, 2 Cl 2.39
Y1 0.5000 0.2500 0.2500  8 Ni 2.91, 4 Cl 3.01-3.03
Cl1 0.5000 0.7500 0.7500  4 Ni 2.39

## Properties
Excess energy over the best structure of this formula in the dataset = 0.228 eV per atom


(12)
YNi2Cl: optimized geometry, PBE.

Unit cell a=5.1380 b=5.1380 c=4.1925 alpha=93.02 beta=93.02 gamma=38.86
Closest atoms and distances in Å follow each position.
Atoms (fractional coordinates):
Ni1 0.0291 0.0291 0.9650  1 Cl 2.39, 2 Ni 2.53
Y1 0.7500 0.7500 0.7500  4 Cl 2.70, 6 Ni 2.80-2.92
Ni2 0.4709 0.4709 0.5350  1 Cl 2.39, 2 Ni 2.53
Cl1 0.2500 0.2500 0.2500  2 Ni 2.39

## Properties
Excess energy over the best structure of this formula in the dataset = 0.308 eV per atom